HoNiAgSn, relaxed, DFT GGA-PBE; E_form = -1.5 eV per formula unit; total moment = 0.0 μB per formula unit
1.0
0.000 3.371 3.371
3.371 0.000 3.371
3.371 3.371 0.000
Ho Ni Ag Sn
1 1 1 1
Cartesian
0.000 0.000 0.000
5.057 5.057 5.057
1.686 1.686 1.686
3.371 3.371 3.371